## TbMg9Zn2 (PBE)

Data for a relaxed TbMg9Zn2 crystal.

## Properties
Energy relative to the elements = -0.048 eV per atom

CIF file:
```
data_TbMg9Zn2
_chemical_formula_sum 'Tb4 Mg36 Zn8'
_cell_length_a 11.879
_cell_length_b 11.879
_cell_length_c 7.521
_cell_angle_alpha 90.00
_cell_angle_beta 90.00
_cell_angle_gamma 90.00
_symmetry_space_group_name_H-M 'I 41/a m d'
_symmetry_Int_Tables_number 141
loop_
_symmetry_equiv_pos_as_xyz
'x,y,z'
'-x,-y,-z'
'-y+1/4,x+3/4,z+1/4'
'y+1/4,-x+3/4,-z+1/4'
'-x+1/2,-y,z+1/2'
'x+1/2,y,-z+1/2'
'y+1/4,-x+1/4,z+3/4'
'-y+1/4,x+1/4,-z+3/4'
'x,-y,-z'
'-x,y,z'
'-y+1/4,-x+1/4,-z+3/4'
'y+1/4,x+1/4,z+3/4'
'-x+1/2,y,-z+1/2'
'x+1/2,-y,z+1/2'
'y+1/4,x+3/4,-z+1/4'
'-y+1/4,-x+3/4,z+1/4'
'x+1/2,y+1/2,z+1/2'
'-x+1/2,-y+1/2,-z+1/2'
'-y+3/4,x+1/4,z+3/4'
'y+3/4,-x+1/4,-z+3/4'
'-x,-y+1/2,z'
'x,y+1/2,-z'
'y+3/4,-x+3/4,z+1/4'
'-y+3/4,x+3/4,-z+1/4'
'x+1/2,-y+1/2,-z+1/2'
'-x+1/2,y+1/2,z+1/2'
'-y+3/4,-x+3/4,-z+1/4'
'y+3/4,x+3/4,z+1/4'
'-x,y+1/2,-z'
'x,-y+1/2,z'
'y+3/4,x+1/4,-z+3/4'
'-y+3/4,-x+1/4,z+3/4'
loop_
_atom_site_label
_atom_site_type_symbol
_atom_site_fract_x
_atom_site_fract_y
_atom_site_fract_z
Tb1 Tb 0.000 0.250 0.375
Mg1 Mg 0.000 0.250 0.875
Mg2 Mg 0.122 0.053 0.680
Zn1 Zn 0.000 0.000 0.000
```

## Tb2Mg3Zn (PBE)

Data for a relaxed Tb2Mg3Zn crystal.

## Properties
Energy relative to the elements = -0.115 eV per atom

CIF file:
```
data_Tb2Mg3Zn
_chemical_formula_sum 'Tb2 Mg3 Zn1'
_cell_length_a 3.323
_cell_length_b 5.049
_cell_length_c 8.759
_cell_angle_alpha 90.00
_cell_angle_beta 90.00
_cell_angle_gamma 90.00
_symmetry_space_group_name_H-M 'P m m 2'
_symmetry_Int_Tables_number 25
loop_
_symmetry_equiv_pos_as_xyz
'x,y,z'
'-x,-y,z'
'-x,y,z'
'x,-y,z'
loop_
_atom_site_label
_atom_site_type_symbol
_atom_site_fract_x
_atom_site_fract_y
_atom_site_fract_z
Tb1 Tb 0.000 0.000 0.000
Tb2 Tb 0.000 0.500 0.470
Mg1 Mg 0.500 0.000 0.645
Mg2 Mg 0.500 0.500 0.153
Mg3 Mg 0.500 0.500 0.815
Zn1 Zn 0.500 0.000 0.319
```

## TbMg4Zn4 (PBE)

Data for a relaxed TbMg4Zn4 crystal.

## Properties
Energy relative to the elements = -0.041 eV per atom

CIF file:
```
data_TbMg4Zn4
_chemical_formula_sum 'Tb2 Mg8 Zn8'
_cell_length_a 8.963
_cell_length_b 8.963
_cell_length_c 4.727
_cell_angle_alpha 90.00
_cell_angle_beta 90.00
_cell_angle_gamma 90.00
_symmetry_space_group_name_H-M 'P 42/n'
_symmetry_Int_Tables_number 86
loop_
_symmetry_equiv_pos_as_xyz
'x,y,z'
'-x,-y,-z'
'-y,x+1/2,z+1/2'
'y,-x+1/2,-z+1/2'
'-x+1/2,-y+1/2,z'
'x+1/2,y+1/2,-z'
'y+1/2,-x,z+1/2'
'-y+1/2,x,-z+1/2'
loop_
_atom_site_label
_atom_site_type_symbol
_atom_site_fract_x
_atom_site_fract_y
_atom_site_fract_z
Tb1 Tb 0.250 0.250 0.250
Mg1 Mg 0.110 0.848 0.746
Zn1 Zn 0.055 0.153 0.752
```

## Tb2Mg3Zn2 (PBE)

Data for a relaxed Tb2Mg3Zn2 crystal.

## Properties
Energy relative to the elements = -0.190 eV per atom

CIF file:
```
data_Tb2Mg3Zn2
_chemical_formula_sum 'Tb4 Mg6 Zn4'
_cell_length_a 10.252
_cell_length_b 4.481
_cell_length_c 7.173
_cell_angle_alpha 90.00
_cell_angle_beta 97.75
_cell_angle_gamma 90.00
_symmetry_space_group_name_H-M 'C 1 2/m 1'
_symmetry_Int_Tables_number 12
loop_
_symmetry_equiv_pos_as_xyz
'x,y,z'
'-x,-y,-z'
'-x,y,-z'
'x,-y,z'
'x+1/2,y+1/2,z'
'-x+1/2,-y+1/2,-z'
'-x+1/2,y+1/2,-z'
'x+1/2,-y+1/2,z'
loop_
_atom_site_label
_atom_site_type_symbol
_atom_site_fract_x
_atom_site_fract_y
_atom_site_fract_z
Tb1 Tb 0.127 0.000 0.356
Mg1 Mg 0.000 0.500 0.000
Mg2 Mg 0.185 0.000 0.862
Zn1 Zn 0.084 0.500 0.649
```

## TbMg2Zn9 (PBE)

Data for a relaxed TbMg2Zn9 crystal.

## Properties
Energy relative to the elements = -0.199 eV per atom

CIF file:
```
data_TbMg2Zn9
_chemical_formula_sum 'Tb3 Mg6 Zn27'
_cell_length_a 5.2895
_cell_length_b 5.2895
_cell_length_c 25.1618
_cell_angle_alpha 90.00
_cell_angle_beta 90.00
_cell_angle_gamma 120.00
_symmetry_space_group_name_H-M 'R -3 m'
_symmetry_Int_Tables_number 166
_symmetry_space_group_name_Hall '-R 3 2"'
loop_
_atom_site_label
_atom_site_type_symbol
_atom_site_fract_x
_atom_site_fract_y
_atom_site_fract_z
Tb1 Tb 0.0000 0.0000 0.0000
Mg1 Mg 0.0000 0.0000 0.1408
Zn1 Zn 0.0000 0.0000 0.3335
Zn2 Zn 0.0000 0.0000 0.5000
Zn3 Zn 0.0051 0.5026 0.9149
```

## Tb6Mg5Zn (PBE)

Data for a relaxed Tb6Mg5Zn crystal.

## Properties
Energy relative to the elements = -0.118 eV per atom

CIF file:
```
data_Tb6Mg5Zn
_chemical_formula_sum 'Tb12 Mg10 Zn2'
_cell_length_a 5.310
_cell_length_b 15.967
_cell_length_c 7.527
_cell_angle_alpha 90.00
_cell_angle_beta 90.00
_cell_angle_gamma 90.00
_symmetry_space_group_name_H-M 'C m m m'
_symmetry_Int_Tables_number 65
_symmetry_space_group_name_Hall '-C 2 2'
loop_
_atom_site_label
_atom_site_type_symbol
_atom_site_fract_x
_atom_site_fract_y
_atom_site_fract_z
Tb1 Tb 0.000 0.000 0.239
Tb2 Tb 0.000 0.339 0.245
Mg1 Mg 0.000 0.169 0.500
Mg2 Mg 0.000 0.172 0.000
Mg3 Mg 0.000 0.500 0.500
Zn1 Zn 0.000 0.500 0.000
```

## Tb5Mg4Zn (PBE)

Data for a relaxed Tb5Mg4Zn crystal.

## Properties
Energy relative to the elements = -0.131 eV per atom

CIF file:
```
data_Tb5Mg4Zn
_chemical_formula_sum 'Tb5 Mg4 Zn1'
_cell_length_a 3.717
_cell_length_b 3.717
_cell_length_c 19.144
_cell_angle_alpha 90.00
_cell_angle_beta 90.00
_cell_angle_gamma 90.00
_symmetry_space_group_name_H-M 'P 4/m m m'
_symmetry_Int_Tables_number 123
_symmetry_space_group_name_Hall '-P 4 2'
loop_
_atom_site_label
_atom_site_type_symbol
_atom_site_fract_x
_atom_site_fract_y
_atom_site_fract_z
Tb1 Tb 0.000 0.000 0.000
Tb2 Tb 0.000 0.000 0.205
Tb3 Tb 0.000 0.000 0.411
Mg1 Mg 0.500 0.500 0.102
Mg2 Mg 0.500 0.500 0.306
Zn1 Zn 0.500 0.500 0.500
```

## TbMg4Zn (PBE)

Data for a relaxed TbMg4Zn crystal.

## Properties
Energy relative to the elements = -0.103 eV per atom

CIF file:
```
data_TbMg4Zn
_chemical_formula_sum 'Tb2 Mg8 Zn2'
_cell_length_a 8.387
_cell_length_b 4.289
_cell_length_c 7.698
_cell_angle_alpha 90.00
_cell_angle_beta 90.00
_cell_angle_gamma 90.00
_symmetry_space_group_name_H-M 'P m m a'
_symmetry_Int_Tables_number 51
loop_
_symmetry_equiv_pos_as_xyz
'x,y,z'
'-x,-y,-z'
'-x+1/2,-y,z'
'x+1/2,y,-z'
'x+1/2,-y,-z'
'-x+1/2,y,z'
'-x,y,-z'
'x,-y,z'
loop_
_atom_site_label
_atom_site_type_symbol
_atom_site_fract_x
_atom_site_fract_y
_atom_site_fract_z
Tb1 Tb 0.250 0.000 0.114
Mg1 Mg 0.000 0.000 0.500
Mg2 Mg 0.057 0.500 0.812
Mg3 Mg 0.250 0.500 0.445
Zn1 Zn 0.250 0.000 0.722
```

## Tb3MgZn8 (PBE)

Data for a relaxed Tb3MgZn8 crystal.

## Properties
Energy relative to the elements = -0.295 eV per atom

CIF file:
```
data_Tb3MgZn8
_chemical_formula_sum 'Tb9 Mg3 Zn24'
_cell_length_a 5.4295
_cell_length_b 5.4295
_cell_length_c 26.5569
_cell_angle_alpha 90.00
_cell_angle_beta 90.00
_cell_angle_gamma 120.00
_symmetry_space_group_name_H-M 'R 3 m'
_symmetry_Int_Tables_number 160
_symmetry_space_group_name_Hall 'R 3 -2"'
loop_
_atom_site_label
_atom_site_type_symbol
_atom_site_fract_x
_atom_site_fract_y
_atom_site_fract_z
Tb1 Tb 0.0000 0.0000 0.0000
Tb2 Tb 0.0000 0.0000 0.1253
Tb3 Tb 0.0000 0.0000 0.6193
Mg1 Mg 0.0000 0.0000 0.4964
Zn1 Zn 0.0000 0.0000 0.3108
Zn2 Zn 0.0000 0.0000 0.8102
Zn3 Zn 0.1674 0.3348 0.3943
Zn4 Zn 0.1679 0.3359 0.8938
```

## Tb6Mg2Zn (PBE)

Data for a relaxed Tb6Mg2Zn crystal.

## Properties
Energy relative to the elements = 0.040 eV per atom

CIF file:
```
data_Tb6Mg2Zn
_chemical_formula_sum 'Tb12 Mg4 Zn2'
_cell_length_a 6.368
_cell_length_b 9.397
_cell_length_c 9.880
_cell_angle_alpha 90.00
_cell_angle_beta 117.40
_cell_angle_gamma 90.00
_symmetry_space_group_name_H-M 'P 1 21/c 1'
_symmetry_Int_Tables_number 14
loop_
_symmetry_equiv_pos_as_xyz
'x,y,z'
'-x,-y,-z'
'-x,y+1/2,-z+1/2'
'x,-y+1/2,z+1/2'
loop_
_atom_site_label
_atom_site_type_symbol
_atom_site_fract_x
_atom_site_fract_y
_atom_site_fract_z
Tb1 Tb 0.073 0.034 0.200
Tb2 Tb 0.143 0.689 0.052
Tb3 Tb 0.424 0.173 0.027
Mg1 Mg 0.382 0.091 0.723
Zn1 Zn 0.500 0.000 0.500
```

For the records above, the corresponding M_tot values read 0.00 0.00 0.00 0.00 0.00 0.00 0.00 0.00 0.00 0.00 μB/f.u..
For the records above, the corresponding calculated total energy values read -1.84 -2.67 -1.83 -2.56 -1.81 -3.20 -3.21 -2.15 -2.43 -3.54 eV per atom.